1.
A geometry-optimized Sr3AlIn structure. Source: Alexandria via LeMat-Bulk, functional PBE.

Output
SG ... Cmcm (63)
DFT formation energy ... -219 meV/atom

a b c (Å): 5.7105 5.7090 11.6016
angles (deg): 90.00 75.75 90.00
With the nearest neighbours (Å) after each atom.
Element x y z (fractional)
Al 0.6648 0.7500 0.3188  8 Sr 3.43-3.51
Al 0.9836 0.2500 0.6812  8 Sr 3.43-3.51
Sr 0.5742 0.2500 0.5000  4 In 3.50, 4 Al 3.51
Sr 0.7497 0.2500 0.1490  2 Al 3.43, 2 In 3.44
Sr 0.2496 0.7500 0.1492  2 Al 3.43, 2 In 3.44
Sr 0.8987 0.7500 0.8510  2 Al 3.43, 2 In 3.44
Sr 0.0742 0.7500 0.5000  4 In 3.50, 4 Al 3.51
Sr 0.3988 0.2500 0.8508  2 Al 3.43, 2 In 3.44
In 0.4841 0.7500 0.6802  8 Sr 3.44-3.50
In 0.1643 0.2500 0.3198  8 Sr 3.44-3.50

2.
A geometry-optimized Li2YSb structure. Source: Alexandria via LeMat-Bulk, functional PBE.

Output
SG ... Pmm2 (25)
Uncorrected energy ... -3.98 eV/atom

a b c (Å): 3.3495 4.1476 6.8846
angles (deg): 90.00 90.00 90.00
With the nearest neighbours (Å) after each atom.
Element x y z (fractional)
Sb 0.0000 0.0000 0.4721  5 Li 2.90-3.07, 4 Y 3.19
Li 0.0000 0.0000 0.0515  1 Sb 2.90, 4 Li 2.99
Li 0.5000 0.5000 0.2494  6 Li 2.99-3.35, 4 Sb 3.07, 1 Y 3.29
Y 0.5000 0.5000 0.7270  4 Sb 3.19, 5 Li 3.29-3.48, 2 Y 3.35

3.
A geometry-optimized Li2HfHCl structure. Source: Alexandria via LeMat-Bulk, functional PBE.

Output
SG ... P4/mmm (123)
Uncorrected energy ... -3.43 eV/atom

a b c (Å): 4.1697 4.9948 4.1697
angles (deg): 90.00 90.00 90.00
With the nearest neighbours (Å) after each atom.
Element x y z (fractional)
Li 0.0000 0.0000 0.5000  2 Cl 2.08
Li 0.5000 0.0000 0.0000  2 Cl 2.08
Cl 0.0000 0.0000 0.0000  4 Li 2.08
Hf 0.0000 0.5000 0.0000  2 Cl 2.50
H 0.5000 0.5000 0.5000  4 Hf 2.95, 8 Li 3.25

4.
A geometry-optimized ZrPb structure. Source: Alexandria via LeMat-Bulk, functional PBE.

Output
SG ... I4_1/amd (141)
DFT formation energy ... -114 meV/atom

a b c (Å): 5.9235 5.9235 5.9235
angles (deg): 136.73 136.76 62.83
With the nearest neighbours (Å) after each atom.
Element x y z (fractional)
Pb 0.0000 0.0000 0.0000  8 Zr 3.09-3.34, 4 Pb 3.34
Pb 0.7500 0.2500 0.5000  8 Zr 3.09-3.34, 4 Pb 3.34
Zr 0.2501 0.7501 0.5000  8 Pb 3.09-3.34, 4 Zr 3.34
Zr 0.4999 0.4999 0.0000  8 Pb 3.09-3.34, 4 Zr 3.34

5.
A geometry-optimized SrMg2W structure. Source: Alexandria via LeMat-Bulk, functional PBE.

Output
SG ... Immm (71)
DFT formation energy ... 854 meV/atom

a b c (Å): 5.8259 5.8259 5.8259
angles (deg): 139.64 128.27 67.58
With the nearest neighbours (Å) after each atom.
Element x y z (fractional)
Sr 0.7500 0.2500 0.5000  4 W 3.24, 8 Mg 3.33-3.36
Mg 0.4764 0.4764 0.0000  2 W 2.97, 4 Mg 3.27, 2 Sr 3.33
Mg 0.0236 0.0236 0.0000  2 W 2.97, 4 Mg 3.27, 2 Sr 3.33
W 0.2500 0.7500 0.5000  4 Mg 2.97, 4 Sr 3.24

6.
A geometry-optimized Tb5Y12Ho2 structure. Source: Alexandria via LeMat-Bulk, functional PBE.

Output
SG ... C2/m (12)
DFT formation energy ... 122 meV/atom

a b c (Å): 9.3267 9.0504 8.6269
angles (deg): 91.66 90.00 121.02
With the nearest neighbours (Å) after each atom.
Element x y z (fractional)
Ho 0.3280 0.0000 0.0000  1 Ho 3.21, 8 Y 3.34-3.56, 2 Tb 3.55
Ho 0.6720 0.0000 0.0000  1 Ho 3.21, 8 Y 3.34-3.56, 2 Tb 3.55
Y 0.6711 0.7013 0.7624  1 Ho 3.34, 4 Y 3.35-3.71, 4 Tb 3.53-3.70
Y 0.9248 0.8497 0.1270  3 Y 3.25-3.50, 3 Tb 3.39-3.60, 2 Ho 3.46
Y 0.0301 0.7013 0.7624  1 Ho 3.34, 4 Y 3.35-3.71, 4 Tb 3.53-3.70
Y 0.4424 0.8848 0.6663  2 Tb 3.37-3.59, 2 Ho 3.39, 7 Y 3.40-3.54
Y 0.9699 0.2987 0.2376  1 Ho 3.34, 4 Y 3.35-3.71, 4 Tb 3.53-3.70
Y 0.1793 0.7414 0.3325  4 Tb 3.39-3.77, 5 Y 3.40-3.57, 1 Ho 3.56
Y 0.5621 0.7414 0.3325  4 Tb 3.39-3.77, 5 Y 3.40-3.57, 1 Ho 3.56
Y 0.0752 0.1503 0.8730  3 Y 3.25-3.50, 3 Tb 3.39-3.60, 2 Ho 3.46
Y 0.8207 0.2586 0.6675  4 Tb 3.39-3.77, 5 Y 3.40-3.57, 1 Ho 3.56
Y 0.3289 0.2987 0.2376  1 Ho 3.34, 4 Y 3.35-3.71, 4 Tb 3.53-3.70
Y 0.5576 0.1152 0.3337  2 Tb 3.37-3.59, 2 Ho 3.39, 7 Y 3.40-3.54
Y 0.4379 0.2586 0.6675  4 Tb 3.39-3.77, 5 Y 3.40-3.57, 1 Ho 3.56
Tb 0.7700 0.5399 0.4284  8 Y 3.37-3.60, 2 Tb 3.60-3.63
Tb 0.2955 0.5910 0.9795  8 Y 3.51-3.69, 2 Ho 3.55, 1 Tb 3.63
Tb 0.0000 0.0000 0.5000  10 Y 3.39-3.77, 2 Tb 3.60
Tb 0.2300 0.4601 0.5716  8 Y 3.37-3.60, 2 Tb 3.60-3.63
Tb 0.7045 0.4090 0.0205  8 Y 3.51-3.69, 2 Ho 3.55, 1 Tb 3.63

7.
A geometry-optimized K2InSb structure. Source: Alexandria via LeMat-Bulk, functional PBE.

Output
SG ... Pm (6)
Uncorrected energy ... -2.59 eV/atom

a b c (Å): 4.6051 5.4445 7.1173
angles (deg): 67.42 90.00 90.00
With the nearest neighbours (Å) after each atom.
Element x y z (fractional)
Sb 0.0000 0.6943 0.4841  2 In 2.92
In 0.5000 0.5597 0.7573  2 Sb 2.92
K 0.5000 0.2703 0.3347  4 Sb 3.69-3.70, 3 In 3.79-3.89
K 0.0000 0.9757 0.9238  3 Sb 3.68-3.98, 4 In 3.73

8.
A geometry-optimized BaMgSn2Rh structure. Source: Alexandria via LeMat-Bulk, functional PBE.

Output
SG ... P4/mmm (123)
DFT formation energy ... -423 meV/atom

a b c (Å): 5.2233 5.2233 5.0878
angles (deg): 90.00 90.00 90.00
With the nearest neighbours (Å) after each atom.
Element x y z (fractional)
Ba 0.5000 0.5000 0.5000  8 Sn 3.65, 4 Mg 3.69
Mg 0.0000 0.0000 0.5000  2 Rh 2.54
Sn 0.0000 0.5000 0.0000  2 Rh 2.61
Sn 0.5000 0.0000 0.0000  2 Rh 2.61
Rh 0.0000 0.0000 0.0000  2 Mg 2.54, 4 Sn 2.61

9.
A geometry-optimized K3Tm3CrS8 structure. Source: Alexandria via LeMat-Bulk, functional PBE.

Output
SG ... R-3m (166)
Uncorrected energy ... -5.51 eV/atom

a b c (Å): 7.7002 7.7031 8.7514
angles (deg): 116.13 90.00 119.99
With the nearest neighbours (Å) after each atom.
Element x y z (fractional)
S 0.2663 0.5326 0.2990  3 Tm 2.69
S 0.2143 0.9708 0.6850  1 Cr 2.47, 2 Tm 2.71
S 0.2436 0.0293 0.3150  1 Cr 2.47, 2 Tm 2.71
S 0.2144 0.4287 0.6850  1 Cr 2.47, 2 Tm 2.71
S 0.7857 0.0292 0.3150  1 Cr 2.47, 2 Tm 2.71
S 0.7337 0.4674 0.7010  3 Tm 2.69
S 0.7564 0.9707 0.6850  1 Cr 2.47, 2 Tm 2.71
S 0.7856 0.5713 0.3150  1 Cr 2.47, 2 Tm 2.71
Tm 0.5000 0.0000 0.5000  6 S 2.69-2.71
Tm 0.0000 0.5000 0.5000  6 S 2.69-2.71
Tm 0.5000 0.5000 0.5000  6 S 2.69-2.71
K 0.0000 0.5000 0.0000  6 S 3.17-3.19
K 0.5000 0.5000 0.0000  6 S 3.17-3.19
K 0.0000 0.0000 0.0000  6 S 3.17-3.19
Cr 0.0000 0.0000 0.5000  6 S 2.47

10.
A geometry-optimized Co2PdW structure. Source: Alexandria via LeMat-Bulk, functional PBE.

Output
SG ... P4/mmm (123)
DFT formation energy ... 78 meV/atom

a b c (Å): 3.5220 3.8218 3.8218
angles (deg): 90.00 90.00 90.00
With the nearest neighbours (Å) after each atom.
Element x y z (fractional)
Co 0.0000 0.0000 0.5000  4 W 2.60, 4 Pd 2.60, 4 Co 2.70
Co 0.0000 0.5000 0.0000  4 W 2.60, 4 Pd 2.60, 4 Co 2.70
W 0.5000 0.0000 0.0000  8 Co 2.60, 4 Pd 2.70
Pd 0.5000 0.5000 0.5000  8 Co 2.60, 4 W 2.70

11.
A geometry-optimized Tl2CdAu2 structure. Source: Alexandria via LeMat-Bulk, functional PBE.

Output
SG ... P4/mbm (127)
DFT formation energy ... -32 meV/atom

a b c (Å): 7.5196 7.5196 4.3586
angles (deg): 90.00 90.00 90.00
With the nearest neighbours (Å) after each atom.
Element x y z (fractional)
Au 0.8606 0.6394 0.0000  2 Cd 2.91, 1 Au 2.97, 6 Tl 3.00-3.17
Au 0.6394 0.1394 0.0000  2 Cd 2.91, 1 Au 2.97, 6 Tl 3.00-3.17
Au 0.3606 0.8606 0.0000  2 Cd 2.91, 1 Au 2.97, 6 Tl 3.00-3.17
Au 0.1394 0.3606 0.0000  2 Cd 2.91, 1 Au 2.97, 6 Tl 3.00-3.17
Tl 0.6662 0.8338 0.5000  6 Au 3.00-3.17
Tl 0.8338 0.3338 0.5000  6 Au 3.00-3.17
Tl 0.1662 0.6662 0.5000  6 Au 3.00-3.17
Tl 0.3338 0.1662 0.5000  6 Au 3.00-3.17
Cd 0.0000 0.0000 0.0000  4 Au 2.91
Cd 0.5000 0.5000 0.0000  4 Au 2.91

12.
A geometry-optimized Tl2FeSnH structure. Source: Alexandria via LeMat-Bulk, functional PBE.

Output
SG ... P4/mmm (123)
Uncorrected energy ... -3.46 eV/atom

a b c (Å): 4.9092 4.3498 4.9092
angles (deg): 90.00 90.00 90.00
With the nearest neighbours (Å) after each atom.
Element x y z (fractional)
Fe 0.5000 0.5000 0.5000  8 Tl 3.28, 4 Sn 3.47
H 0.0000 0.0000 0.0000  2 Sn 2.17
Tl 0.0000 0.0000 0.5000  2 H 2.45
Tl 0.5000 0.0000 0.0000  2 H 2.45
Sn 0.0000 0.5000 0.0000  2 H 2.17

13.
A geometry-optimized Zr2Tc3 structure. Source: Alexandria via LeMat-Bulk, functional PBE.

Output
SG ... R-3m (166)
DFT formation energy ... 117 meV/atom

a b c (Å): 10.8334 10.8334 10.8334
angles (deg): 16.42 16.42 16.42
With the nearest neighbours (Å) after each atom.
Element x y z (fractional)
Tc 0.0000 0.0000 0.0000  6 Zr 2.77, 6 Tc 3.09
Tc 0.1959 0.1959 0.1959  3 Tc 2.59
Tc 0.8041 0.8041 0.8041  3 Tc 2.59
Zr 0.6006 0.6006 0.6006  6 Tc 2.77-2.90, 6 Zr 3.09
Zr 0.3994 0.3994 0.3994  6 Tc 2.77-2.90, 6 Zr 3.09

14.
A geometry-optimized CoRe3Mo structure. Source: Alexandria via LeMat-Bulk, functional PBE.

Output
SG ... Pm-3m (221)
DFT formation energy ... 1574 meV/atom

a b c (Å): 4.3675 4.3675 4.3675
angles (deg): 90.00 90.00 90.00
With the nearest neighbours (Å) after each atom.
Element x y z (fractional)
Re 0.0000 0.0000 0.5000  2 Co 2.18
Re 0.5000 0.0000 0.0000  2 Co 2.18
Re 0.0000 0.5000 0.0000  2 Co 2.18
Co 0.0000 0.0000 0.0000  6 Re 2.18
Mo 0.5000 0.5000 0.5000  12 Re 3.09

15.
A geometry-optimized Sr2InSiAu6 structure. Source: Alexandria via LeMat-Bulk, functional PBE.

Output
SG ... P-1 (2)
Uncorrected energy ... -3.57 eV/atom

a b c (Å): 5.9403 8.6303 6.8560
angles (deg): 55.32 64.32 90.02
With the nearest neighbours (Å) after each atom.
Element x y z (fractional)
Sr 0.7610 0.3015 0.4759  9 Au 3.28-3.65
Sr 0.2390 0.6985 0.5241  9 Au 3.28-3.65
Au 0.2458 0.2283 0.0074  1 Si 2.49, 1 In 2.75
Au 0.2562 0.7741 0.9895  1 Si 2.49, 1 In 2.76
Au 0.7563 0.8846 0.4912  1 Si 2.53, 1 In 2.78
Au 0.7438 0.2259 0.0105  1 Si 2.49, 1 In 2.76
Au 0.2437 0.1154 0.5088  1 Si 2.53, 1 In 2.78
Au 0.7542 0.7717 0.9926  1 Si 2.49, 1 In 2.75
In 0.5000 0.5000 0.0000  6 Au 2.75-2.78
Si 0.0000 0.0000 0.0000  6 Au 2.49-2.53

16.
A geometry-optimized Na2NpInTe4 structure. Source: Alexandria via LeMat-Bulk, functional PBE.

Output
SG ... P2/m (10)
Uncorrected energy ... -4.53 eV/atom

a b c (Å): 4.4151 7.8279 7.9142
angles (deg): 109.01 90.00 90.00
With the nearest neighbours (Å) after each atom.
Element x y z (fractional)
In 0.0000 0.0000 0.0000  6 Te 3.07-3.15
Np 0.5000 0.5000 0.0000  6 Te 3.10-3.11
Te 0.0000 0.7421 0.2338  2 Np 3.10, 1 In 3.15, 3 Na 3.26
Te 0.5000 0.2411 0.2263  2 In 3.07, 1 Np 3.11, 3 Na 3.29-3.30
Te 0.0000 0.2579 0.7662  2 Np 3.10, 1 In 3.15, 3 Na 3.26
Te 0.5000 0.7589 0.7737  2 In 3.07, 1 Np 3.11, 3 Na 3.29-3.30
Na 0.0000 0.5000 0.5000  6 Te 3.26-3.29
Na 0.5000 0.0000 0.5000  6 Te 3.26-3.30

17.
A geometry-optimized Na3DyEr3Te8 structure. Source: Alexandria via LeMat-Bulk, functional PBE.

Output
SG ... C2/m (12)
Uncorrected energy ... -4.40 eV/atom

a b c (Å): 8.6706 8.6732 9.1808
angles (deg): 118.22 90.03 119.97
With the nearest neighbours (Å) after each atom.
Element x y z (fractional)
Na 0.0000 0.5000 0.0000  6 Te 3.25-3.26
Na 0.0000 0.0000 0.0000  6 Te 3.25-3.26
Na 0.5000 0.5000 0.0000  6 Te 3.25-3.26
Er 0.5000 0.5000 0.5000  6 Te 3.06-3.07
Er 0.5000 0.0000 0.5000  6 Te 3.06-3.07
Er 0.0000 0.5000 0.5000  6 Te 3.06-3.07
Te 0.2562 0.5125 0.2690  3 Er 3.07, 3 Na 3.25
Te 0.7396 0.9855 0.7310  2 Er 3.06, 1 Dy 3.10, 2 Na 3.26
Te 0.7540 0.0145 0.2689  2 Er 3.06, 1 Dy 3.10, 2 Na 3.26
Te 0.7540 0.5081 0.2690  2 Er 3.06, 1 Dy 3.10, 2 Na 3.26
Te 0.2460 0.4919 0.7310  2 Er 3.06, 1 Dy 3.10, 2 Na 3.26
Te 0.2604 0.0145 0.2690  2 Er 3.06, 1 Dy 3.10, 2 Na 3.26
Te 0.7438 0.4875 0.7310  3 Er 3.07, 3 Na 3.25
Te 0.2460 0.9855 0.7311  2 Er 3.06, 1 Dy 3.10, 2 Na 3.26
Dy 0.0000 0.0000 0.5000  6 Te 3.10

18.
A geometry-optimized RbLaN2 structure. Source: Alexandria via LeMat-Bulk, functional PBE.

Output
SG ... R-3m (166)
Uncorrected energy ... -5.53 eV/atom

a b c (Å): 8.0202 8.0202 8.0202
angles (deg): 28.05 28.05 28.05
With the nearest neighbours (Å) after each atom.
Element x y z (fractional)
La 0.5000 0.5000 0.5000  6 N 2.51
N 0.8824 0.8824 0.8824  3 La 2.51, 1 Rb 2.72
N 0.1176 0.1176 0.1176  3 La 2.51, 1 Rb 2.72
Rb 0.0000 0.0000 0.0000  2 N 2.72

19.
A geometry-optimized K3Mn3WSe8 structure. Source: Alexandria via LeMat-Bulk, functional PBE.

Output
SG ... C2/m (12)
Uncorrected energy ... -5.40 eV/atom

a b c (Å): 7.6806 7.6728 8.8913
angles (deg): 115.58 89.96 120.08
With the nearest neighbours (Å) after each atom.
Element x y z (fractional)
Se 0.2246 0.4484 0.6836  1 W 2.59, 2 Mn 2.65
Se 0.7242 0.4483 0.6731  3 Mn 2.58-2.59
Se 0.2232 0.9598 0.6835  1 W 2.58, 2 Mn 2.65
Se 0.2758 0.5517 0.3269  3 Mn 2.58-2.59
Se 0.7768 0.0402 0.3165  1 W 2.58, 2 Mn 2.65
Se 0.7361 0.9592 0.6835  1 W 2.58, 2 Mn 2.65-2.66
Se 0.2639 0.0408 0.3165  1 W 2.58, 2 Mn 2.65-2.66
Se 0.7754 0.5516 0.3164  1 W 2.59, 2 Mn 2.65
K 0.5000 0.5000 0.0000  6 Se 3.27-3.35
K 0.0000 0.0000 0.0000  6 Se 3.28-3.35
K 0.0000 0.5000 0.0000  6 Se 3.28-3.36
Mn 0.0000 0.5000 0.5000  6 Se 2.59-2.65
Mn 0.5000 0.0000 0.5000  6 Se 2.58-2.66
Mn 0.5000 0.5000 0.5000  6 Se 2.59-2.65
W 0.0000 0.0000 0.5000  6 Se 2.58-2.59

20.
A geometry-optimized K2Np3TlS8 structure. Source: Alexandria via LeMat-Bulk, functional PBE.

Output
SG ... R3m (160)
Uncorrected energy ... -6.63 eV/atom

a b c (Å): 8.1282 8.1282 8.9789
angles (deg): 63.09 63.09 60.00
With the nearest neighbours (Å) after each atom.
Element x y z (fractional)
S 0.7559 0.7559 0.1855  2 Np 2.65, 1 Tl 2.95
S 0.2432 0.2432 0.8216  2 Np 2.63
S 0.2708 0.2708 0.1875  3 Np 2.74
S 0.6920 0.2432 0.8216  2 Np 2.63
S 0.2432 0.6920 0.8216  2 Np 2.63
S 0.3027 0.7559 0.1855  2 Np 2.65, 1 Tl 2.95
S 0.7559 0.3027 0.1855  2 Np 2.65, 1 Tl 2.95
S 0.7257 0.7257 0.8229  3 Np 2.72
Np 0.9999 0.4988 0.0024  6 S 2.63-2.74
Np 0.4988 0.9999 0.0024  6 S 2.63-2.74
Np 0.4988 0.4988 0.0024  6 S 2.63-2.74
Tl 0.8751 0.8751 0.3746  3 S 2.95
K 0.1319 0.1319 0.6042  4 S 3.08-3.19
K 0.4986 0.4986 0.5041  6 S 3.22-3.24

DOS at the Fermi energy values, unit states/eV per atom, following the record order: 0.682, 0.536, 0.834, 0.740, 0.634, 1.456, 0.276, 0.761, 0.503, 0.489, 0.390, 0.970, 0.822, 1.760, 0.362, 1.052, 0.358, 0.594, 0.533, 1.787.
Size of the total moment values, unit μB per atom, following the record order: 0.00, 0.01, 0.00, 0.00, 0.59, 0.00, 0.00, 0.00, 0.14, 0.00, 0.00, 0.62, 0.00, 0.00, 0.00, 0.46, 0.00, 0.50, 0.94, 0.57.